Compound: NdThSbSe2
Source: the Alexandria database
Functional: GGA-PBE
Structure: optimized geometry

* symmetry: No. 107
* uncorrected formation energy: -1.16 eV/atom
* size of the total moment: 0.00 μB per formula unit

```
NdThSbSe2
1.0
4.577 0.000 0.000
0.000 4.577 0.000
-2.289 -2.289 7.262
Sb Se Nd Th
1 2 1 1
direct
0.509 0.509 0.019 Sb
0.248 0.748 0.496 Se
0.748 0.248 0.496 Se
0.869 0.869 0.737 Nd
0.126 0.126 0.253 Th
```